Entry from the Alexandria database: an optimized crystal structure of BeVSe2 (PBE-GGA).

* magnetic moment: 3.05 μB/cell
* uncorrected formation energy: -164 meV per atom
* VASP energy: -5.118 eV per atom

Geometry as CIF:
```
data_BeVSe2
_symmetry_space_group_name_H-M 'R -3 m'
_symmetry_Int_Tables_number 166
_symmetry_space_group_name_Hall '-R 3 2"'
_cell_length_a 3.3985
_cell_length_b 3.3985
_cell_length_c 22.0772
_cell_angle_alpha 90.00
_cell_angle_beta 90.00
_cell_angle_gamma 120.00
loop_
_atom_site_label
_atom_site_type_symbol
_atom_site_fract_x
_atom_site_fract_y
_atom_site_fract_z
Be1 Be 0.0000 0.0000 0.0000
V1 V 0.0000 0.0000 0.5000
Se1 Se 0.0000 0.0000 0.0959
```